1.
Below is a relaxed structure of MgPaCuIr, with properties calculated at the PBE level.

**ΔE_f**: -0.341 eV per atom
**Energy**: -25.41 eV for the cell shown

Lattice parameters (Å, degrees): 4.7188 4.7188 4.7188 60.00 60.00 60.00
Element x y z (fractional)
Mg: 0.0000 0.0000 0.0000
Pa: 0.5000 0.5000 0.5000
Cu: 0.7500 0.7500 0.7500
Ir: 0.2500 0.2500 0.2500


2.
Below is a relaxed structure of PmMgCuIr, with properties calculated at the PBE level.

**ΔE_f**: -0.309 eV per atom
**Energy**: -20.54 eV for the cell shown

Lattice parameters (Å, degrees): 4.7722 4.7722 4.7722 60.00 60.00 60.00
Element x y z (fractional)
Pm: 0.0000 0.0000 0.0000
Mg: 0.5000 0.5000 0.5000
Cu: 0.7500 0.7500 0.7500
Ir: 0.2500 0.2500 0.2500


3.
Below is a relaxed structure of PrMgCuIr, with properties calculated at the PBE level.

**ΔE_f**: -0.248 eV per atom
**Energy**: -20.32 eV for the cell shown

Lattice parameters (Å, degrees): 4.8226 4.8226 4.8226 60.00 60.00 60.00
Element x y z (fractional)
Pr: 0.0000 0.0000 0.0000
Mg: 0.5000 0.5000 0.5000
Cu: 0.7500 0.7500 0.7500
Ir: 0.2500 0.2500 0.2500